First-principles (GGA-PBE) data for an optimized crystal structure of CsIn6Bi2, as listed in the Alexandria database.

Cell: 5.404 5.404 10.454 Å, 90.00 90.00 90.00°
Element x y z (fractional)
In (0.500, 0.500, 0.500)
In (0.000, 0.500, 0.675)
In (0.000, 0.500, 0.325)
In (0.500, 0.000, 0.675)
In (0.000, 0.000, 0.500)
In (0.500, 0.000, 0.325)
Bi (0.500, 0.500, 0.848)
Bi (0.500, 0.500, 0.152)
Cs (0.000, 0.000, 0.000)

## Properties
DOS(E_F) = 3.96 states/eV/cell
E_tot = -2.86 eV per atom
Symmetry = P4/mmm


First-principles (GGA-PBE) data for an optimized crystal structure of KHfGa3, as listed in the Alexandria database.

Cell: 5.123 5.123 5.123 Å, 90.00 90.00 90.00°
Element x y z (fractional)
Ga (0.500, 0.000, 0.000)
Ga (0.000, 0.500, 0.000)
Ga (0.000, 0.000, 0.500)
Hf (0.500, 0.500, 0.500)
K (0.000, 0.000, 0.000)

## Properties
DOS(E_F) = 4.21 states/eV/cell
E_tot = -2.62 eV per atom
Symmetry = Pm-3m